Record 1
The following is a DFT calculation (PBE) of a relaxed La3HoTh crystal.

Cell lengths 3.651, 3.651, 29.939 Å; angles 90.00, 90.00, 120.00 degrees
Positions (direct):
La 0.000 0.000 0.000
La 0.000 0.000 0.500
La 0.333 0.667 0.108
La 0.333 0.667 0.801
La 0.667 0.333 0.301
La 0.667 0.333 0.608
Ho 0.333 0.667 0.404
Ho 0.667 0.333 0.904
Th 0.000 0.000 0.204
Th 0.000 0.000 0.704

Results
E ... -5.333 eV/atom
Spin magnetization ... 0.00 μB per formula unit


Record 2
The following is a DFT calculation (PBE) of a relaxed PmCo5C2 crystal.

Cell lengths 3.512, 6.031, 8.225 Å; angles 90.00, 90.00, 90.00 degrees
Positions (direct):
Pm 0.000 0.000 0.000
Pm 0.500 0.500 0.500
Co 0.000 0.194 0.339
Co 0.000 0.194 0.661
Co 0.000 0.500 0.000
Co 0.000 0.806 0.339
Co 0.000 0.806 0.661
Co 0.500 0.000 0.500
Co 0.500 0.306 0.161
Co 0.500 0.306 0.839
Co 0.500 0.694 0.161
Co 0.500 0.694 0.839
C 0.000 0.500 0.235
C 0.000 0.500 0.765
C 0.500 0.000 0.265
C 0.500 0.000 0.735

Results
E ... -7.273 eV/atom
Spin magnetization ... 2.02 μB per formula unit


Record 3
The following is a DFT calculation (PBE) of a relaxed Tb12Tm7Pu crystal.

Cell lengths 9.793, 9.793, 9.793 Å; angles 109.47, 109.47, 109.47 degrees
Positions (direct):
Tb 0.000 0.253 0.747
Tb 0.000 0.747 0.253
Tb 0.253 0.000 0.747
Tb 0.253 0.253 0.506
Tb 0.253 0.506 0.253
Tb 0.253 0.747 0.000
Tb 0.494 0.747 0.747
Tb 0.506 0.253 0.253
Tb 0.747 0.000 0.253
Tb 0.747 0.253 0.000
Tb 0.747 0.494 0.747
Tb 0.747 0.747 0.494
Tm 0.000 0.000 0.500
Tm 0.000 0.500 0.000
Tm 0.000 0.500 0.500
Tm 0.500 0.000 0.000
Tm 0.500 0.000 0.500
Tm 0.500 0.500 0.000
Tm 0.500 0.500 0.500
Pu 0.000 0.000 0.000

Results
E ... -4.308 eV/atom
Spin magnetization ... 6.40 μB per formula unit


Record 4
The following is a DFT calculation (PBE) of a relaxed RbAl2CdH crystal.

Cell lengths 4.611, 4.611, 5.122 Å; angles 90.00, 90.00, 90.00 degrees
Positions (direct):
Rb 0.000 0.000 0.000
Al 0.000 0.500 0.500
Al 0.500 0.000 0.500
Cd 0.500 0.500 0.000
H 0.000 0.000 0.500

Results
E ... -2.086 eV/atom
Spin magnetization ... 0.00 μB per formula unit


Record 5
The following is a DFT calculation (PBE) of a relaxed Li5B8C8 crystal.

Cell lengths 4.724, 5.395, 7.764 Å; angles 99.87, 107.58, 90.01 degrees
Positions (direct):
Li 0.000 0.000 0.000
Li 0.000 0.485 0.000
Li 0.251 0.641 0.499
Li 0.498 0.739 0.998
Li 0.748 0.348 0.500
B 0.039 0.681 0.750
B 0.043 0.178 0.750
B 0.457 0.053 0.245
B 0.459 0.553 0.246
B 0.539 0.428 0.752
B 0.542 0.934 0.754
B 0.957 0.805 0.246
B 0.960 0.304 0.252
C 0.207 0.431 0.749
C 0.214 0.930 0.755
C 0.283 0.800 0.237
C 0.290 0.305 0.251
C 0.709 0.681 0.755
C 0.716 0.182 0.754
C 0.786 0.053 0.244
C 0.792 0.555 0.250

Results
E ... -6.656 eV/atom
Spin magnetization ... 0.00 μB per formula unit


Record 6
The following is a DFT calculation (PBE) of a relaxed Pm2Nd8Th crystal.

Cell lengths 9.702, 9.702, 8.211 Å; angles 104.66, 104.66, 30.98 degrees
Positions (direct):
Pm 0.228 0.228 0.136
Pm 0.772 0.772 0.864
Nd 0.044 0.044 0.234
Nd 0.134 0.134 0.679
Nd 0.320 0.320 0.591
Nd 0.409 0.409 0.050
Nd 0.591 0.591 0.950
Nd 0.680 0.680 0.409
Nd 0.866 0.866 0.321
Nd 0.956 0.956 0.766
Th 0.500 0.500 0.500

Results
E ... -4.977 eV/atom
Spin magnetization ... 0.00 μB per formula unit


Record 7
The following is a DFT calculation (PBE) of a relaxed NiAgBi2 crystal.

Cell lengths 4.218, 4.218, 18.695 Å; angles 90.00, 90.00, 120.00 degrees
Positions (direct):
Ni 0.000 0.000 0.000
Ni 0.333 0.667 0.667
Ni 0.667 0.333 0.333
Ag 0.000 0.000 0.155
Ag 0.333 0.667 0.822
Ag 0.667 0.333 0.489
Bi 0.000 0.000 0.393
Bi 0.000 0.000 0.594
Bi 0.333 0.667 0.059
Bi 0.333 0.667 0.261
Bi 0.667 0.333 0.726
Bi 0.667 0.333 0.928

Results
E ... -3.991 eV/atom
Spin magnetization ... 0.00 μB per formula unit


Record 8
The following is a DFT calculation (PBE) of a relaxed Y3AlN crystal.

Cell lengths 6.716, 6.716, 5.752 Å; angles 90.00, 90.00, 120.00 degrees
Positions (direct):
Y 0.163 0.326 0.250
Y 0.163 0.837 0.250
Y 0.326 0.163 0.750
Y 0.674 0.837 0.250
Y 0.837 0.163 0.750
Y 0.837 0.674 0.750
Al 0.333 0.667 0.750
Al 0.667 0.333 0.250
N 0.000 0.000 0.000
N 0.000 0.000 0.500

Results
E_form (uncorrected) ... -0.829 eV/atom
Spin magnetization ... 0.80 μB per formula unit